Density functional theory data (PBE-GGA) for a relaxed Er2CuHPd6 crystal.

total moment	0.00	μB per formula unit
calculated total energy	-53.7	eV per cell
crystal system	triclinic

```
data_Er2CuHPd6
_chemical_formula_sum 'Er2 Cu1 H1 Pd6'
_cell_length_a 5.6207
_cell_length_b 5.6971
_cell_length_c 6.7047
_cell_angle_alpha 66.04
_cell_angle_beta 65.28
_cell_angle_gamma 60.77
_space_group_name_H-M_alt 'P -1'
_space_group_IT_number 2
loop_
_space_group_symop_operation_xyz
'x,y,z'
'-x,-y,-z'
loop_
_atom_site_label
_atom_site_fract_x
_atom_site_fract_y
_atom_site_fract_z
Er1 0.2198 0.2413 0.3284
Cu1 0.5000 0.5000 0.5000
H1 0.0000 0.0000 0.0000
Pd1 0.2285 0.6961 0.8338
Pd2 0.2406 0.2096 0.7920
Pd3 0.2611 0.7929 0.1962
```


Density functional theory data (PBE-GGA) for a relaxed TbPrB crystal.

total moment	0.00	μB per formula unit
calculated total energy	-63.8	eV per cell
E_form	0.13	eV/f.u.
crystal system	monoclinic

```
data_TbPrB
_chemical_formula_sum 'Tb4 Pr4 B4'
_cell_length_a 10.2417
_cell_length_b 4.8799
_cell_length_c 6.2949
_cell_angle_alpha 90.00
_cell_angle_beta 118.28
_cell_angle_gamma 90.00
_space_group_name_H-M_alt 'C 1 2/m 1'
_space_group_IT_number 12
loop_
_space_group_symop_operation_xyz
'x,y,z'
'-x,-y,-z'
'-x,y,-z'
'x,-y,z'
'x+1/2,y+1/2,z'
'-x+1/2,-y+1/2,-z'
'-x+1/2,y+1/2,-z'
'x+1/2,-y+1/2,z'
loop_
_atom_site_label
_atom_site_fract_x
_atom_site_fract_y
_atom_site_fract_z
Tb1 0.1120 0.0000 0.3595
Pr1 0.1547 0.5000 0.9915
B1 0.0891 0.5000 0.5261
```


Density functional theory data (PBE-GGA) for a relaxed Ca3C crystal.

total moment	0.00	μB per formula unit
calculated total energy	-27.2	eV per cell
E_form	1.63	eV/f.u.
crystal system	orthorhombic

```
data_Ca3C
_chemical_formula_sum 'Ca6 C2'
_cell_length_a 3.2542
_cell_length_b 4.6654
_cell_length_c 13.5392
_cell_angle_alpha 90.00
_cell_angle_beta 90.00
_cell_angle_gamma 90.00
_space_group_name_H-M_alt 'I m m m'
_space_group_IT_number 71
_space_group_name_Hall '-I 2 2'
loop_
_atom_site_label
_atom_site_fract_x
_atom_site_fract_y
_atom_site_fract_z
Ca1 0.0000 0.0000 0.0000
Ca2 0.0000 0.5000 0.1490
C1 0.0000 0.0000 0.5000
```


Please write out number 2 again, unchanged.
Density functional theory data (PBE-GGA) for a relaxed TbPrB crystal.

total moment	0.00	μB per formula unit
calculated total energy	-63.8	eV per cell
E_form	0.13	eV/f.u.
crystal system	monoclinic

```
data_TbPrB
_chemical_formula_sum 'Tb4 Pr4 B4'
_cell_length_a 10.2417
_cell_length_b 4.8799
_cell_length_c 6.2949
_cell_angle_alpha 90.00
_cell_angle_beta 118.28
_cell_angle_gamma 90.00
_space_group_name_H-M_alt 'C 1 2/m 1'
_space_group_IT_number 12
loop_
_space_group_symop_operation_xyz
'x,y,z'
'-x,-y,-z'
'-x,y,-z'
'x,-y,z'
'x+1/2,y+1/2,z'
'-x+1/2,-y+1/2,-z'
'-x+1/2,y+1/2,-z'
'x+1/2,-y+1/2,z'
loop_
_atom_site_label
_atom_site_fract_x
_atom_site_fract_y
_atom_site_fract_z
Tb1 0.1120 0.0000 0.3595
Pr1 0.1547 0.5000 0.9915
B1 0.0891 0.5000 0.5261
```


Number 2 is which compound?
TbPrB